The following is a PBE calculation of a relaxed KTl2Te crystal, from Alexandria via LeMat-Bulk.

Output
mass density: 6660 kg/m³
D(E_F): 1.7 states/eV per cell
energy above the most stable polymorph in this dataset: 115 meV/atom
formation energy without anion corrections: -301 meV per atom
total magnetic moment: 0.0 μB per formula unit

POSCAR file:
```
KTl2Te
1.0
4.456 0.000 0.000
0.000 4.456 0.000
0.000 0.000 7.227
K Tl Te
1 2 1
direct
0.000 0.000 0.000
0.500 0.500 0.288
0.500 0.500 0.712
0.000 0.000 0.500
```

=====

The following is a PBE calculation of a relaxed TaPtS3 crystal, from Alexandria via LeMat-Bulk.

Output
mass density: 8086 kg/m³
D(E_F): 5.8 states/eV per cell
energy above the most stable polymorph in this dataset: 499 meV/atom
formation energy without anion corrections: 840 meV per atom
total magnetic moment: 0.0 μB per formula unit

POSCAR file:
```
TaPtS3
1.0
4.594 0.000 0.000
0.000 4.594 0.000
0.000 0.000 4.594
Ta Pt S
1 1 3
direct
0.000 0.000 0.000
0.500 0.500 0.500
0.000 0.500 0.500
0.500 0.000 0.500
0.500 0.500 0.000
```

=====

The following is a PBE calculation of a relaxed AlAgBr2 crystal, from Alexandria via LeMat-Bulk.

Output
mass density: 4266 kg/m³
D(E_F): 0.4 states/eV per cell
energy above the most stable polymorph in this dataset: 380 meV/atom
formation energy without anion corrections: -102 meV per atom
total magnetic moment: 0.0 μB per formula unit

POSCAR file:
```
AlAgBr2
1.0
-2.041 2.041 6.881
2.041 -2.041 6.881
2.041 2.041 -6.881
Al Ag Br
1 1 2
direct
0.000 0.000 0.000
0.750 0.250 0.500
0.250 0.750 0.500
0.500 0.500 0.000
```

=====

The following is a PBE calculation of a relaxed YMn2Tc crystal, from Alexandria via LeMat-Bulk.

Output
mass density: 7068 kg/m³
D(E_F): 4.8 states/eV per cell
energy above the most stable polymorph in this dataset: 149 meV/atom
total magnetic moment: 4.3 μB per formula unit
calculated formation energy: 0.34 eV per atom

POSCAR file:
```
YMn2Tc
1.0
4.472 -1.572 0.000
4.472 1.572 0.000
-1.343 0.000 4.960
Y Mn Tc
1 2 1
direct
0.000 0.000 0.000
0.225 0.225 0.689
0.489 0.489 0.496
0.772 0.772 0.358
```

=====

The following is a PBE calculation of a relaxed PrNd2Sm2 crystal, from Alexandria via LeMat-Bulk.

Output
mass density: 6934 kg/m³
D(E_F): 12.9 states/eV per cell
energy above the most stable polymorph in this dataset: 21 meV/atom
total magnetic moment: 0.0 μB per formula unit
calculated formation energy: 0.12 eV per atom

POSCAR file:
```
PrNd2Sm2
1.0
4.956 -4.049 0.000
4.956 4.049 0.000
-3.660 0.000 8.713
Pr Nd Sm
2 4 4
direct
0.220 0.780 0.750
0.780 0.220 0.250
0.049 0.717 0.352
0.283 0.951 0.148
0.717 0.049 0.852
0.951 0.283 0.648
0.274 0.401 0.023
0.401 0.274 0.523
0.599 0.726 0.477
0.726 0.599 0.977
```

=====

The following is a PBE calculation of a relaxed Cd2Tc2Ge crystal, from Alexandria via LeMat-Bulk.

Output
mass density: 8950 kg/m³
D(E_F): 4.1 states/eV per cell
total magnetic moment: 0.0 μB per formula unit
calculated formation energy: 0.13 eV per atom

POSCAR file:
```
Cd2Tc2Ge
1.0
6.320 0.000 0.000
0.000 6.320 0.000
0.000 0.000 4.584
Cd Tc Ge
4 4 2
direct
0.170 0.330 0.000
0.330 0.830 0.000
0.670 0.170 0.000
0.830 0.670 0.000
0.133 0.633 0.500
0.367 0.133 0.500
0.633 0.867 0.500
0.867 0.367 0.500
0.000 0.000 0.500
0.500 0.500 0.500
```

=====

The following is a PBE calculation of a relaxed Ti4PtPb crystal, from Alexandria via LeMat-Bulk.

Output
mass density: 9286 kg/m³
D(E_F): 4.8 states/eV per cell
total magnetic moment: 0.0 μB per formula unit
calculated formation energy: -0.33 eV per atom

POSCAR file:
```
Ti4PtPb
1.0
4.992 -1.711 0.000
4.992 1.711 0.000
-2.109 0.000 6.215
Ti Pt Pb
4 1 1
direct
0.164 0.164 0.354
0.172 0.172 0.815
0.828 0.828 0.185
0.836 0.836 0.646
0.500 0.500 0.500
0.500 0.500 0.000
```

=====

The following is a PBE calculation of a relaxed SiAgHg crystal, from Alexandria via LeMat-Bulk.

Output
mass density: 9305 kg/m³
D(E_F): 1.4 states/eV per cell
energy above the most stable polymorph in this dataset: 82 meV/atom
formation energy without anion corrections: 383 meV per atom
total magnetic moment: 0.0 μB per formula unit

POSCAR file:
```
SiAgHg
1.0
-1.420 1.964 5.386
1.420 -1.964 5.386
1.420 1.964 -5.386
Si Ag Hg
1 1 1
direct
0.000 0.000 0.000
0.619 0.619 0.000
0.308 0.308 0.000
```

=====

Please write out number 8 again, unchanged.
The following is a PBE calculation of a relaxed SiAgHg crystal, from Alexandria via LeMat-Bulk.

Output
mass density: 9305 kg/m³
D(E_F): 1.4 states/eV per cell
energy above the most stable polymorph in this dataset: 82 meV/atom
formation energy without anion corrections: 383 meV per atom
total magnetic moment: 0.0 μB per formula unit

POSCAR file:
```
SiAgHg
1.0
-1.420 1.964 5.386
1.420 -1.964 5.386
1.420 1.964 -5.386
Si Ag Hg
1 1 1
direct
0.000 0.000 0.000
0.619 0.619 0.000
0.308 0.308 0.000
```